(1)
A relaxed Sc2TiCuTc crystal. Source: the Alexandria database, functional PBE.

Computed properties:
Space group: P4/mmm, No. 123
Final energy, eV per cell: -29.0

a b c (Å): 4.763 4.763 4.434
angles (deg): 90.00 90.00 90.00
Fractional positions:
Sc 0.000 0.500 0.000
Sc 0.500 0.000 0.000
Ti 0.000 0.000 0.000
Cu 0.000 0.000 0.500
Tc 0.500 0.500 0.500


(2)
A relaxed ReAsAu2 crystal. Source: the Alexandria database, functional PBE.

Computed properties:
Space group: R3m, No. 160
Final energy, eV per cell: -22.6

a b c (Å): 9.214 9.214 9.214
angles (deg): 18.67 18.67 18.67
Fractional positions:
Re 0.000 0.000 0.000
As 0.266 0.266 0.266
Au 0.503 0.503 0.503
Au 0.750 0.750 0.750